First-principles (GGA-PBE) data for an optimized crystal structure of CoPd8Pt2, as listed in the Alexandria database.

Computed properties:
Size of the total moment, Bohr magnetons per cell: 5.0
Polymorph energy (0 for the lowest one), meV/atom: 123.0

Cell: 6.774 6.774 4.778 Å, 102.69 102.69 59.42°
Fractional positions:
Co: 0.000 0.000 0.000
Pd: 0.226 0.226 0.072
Pd: 0.236 0.630 0.204
Pd: 0.353 0.353 0.653
Pd: 0.370 0.764 0.796
Pd: 0.630 0.236 0.204
Pd: 0.647 0.647 0.347
Pd: 0.764 0.370 0.796
Pd: 0.774 0.774 0.928
Pt: 0.118 0.118 0.497
Pt: 0.882 0.882 0.503

***

First-principles (GGA-PBE) data for an optimized crystal structure of Sr2ZnBN, as listed in the Alexandria database.

Computed properties:
Size of the total moment, Bohr magnetons per cell: 1.3
ΔE_f (raw), kcal/mol of atoms: 18.07

Cell: 5.672 5.672 3.783 Å, 90.00 90.00 90.00°
Fractional positions:
Sr: 0.000 0.500 0.000
Sr: 0.500 0.000 0.000
Zn: 0.000 0.000 0.000
B: 0.000 0.000 0.500
N: 0.500 0.500 0.500